[1]
Entry from Alexandria: an optimized crystal structure of GaAgC2 (PBEsol).

```
8
Lattice="4.818 0.000 0.000 0.000 4.818 0.000 -2.409 -2.409 4.577" Properties=species:S:1:pos:R:3 pbc="T T T"
C 1.204 1.121 3.433
C 3.530 1.204 1.144
C -1.204 -1.121 3.433
C 1.288 3.613 1.144
Ga 2.409 0.000 2.288
Ga 2.409 2.409 0.000
Ag 0.000 0.000 0.000
Ag 0.000 2.409 2.288
```

Calculated values
Its volume is 13.28 Å³ per atom. The value obtained for the total energy is -39.06 eV/cell. The value obtained for the formation enthalpy at 0 K is 1.6024 eV/atom. The total magnetization comes out at 0.0 μB/f.u.

---

[2]
Entry from Alexandria: an optimized crystal structure of Na3TaBi (PBEsol).

```
5
Lattice="5.738 0.000 0.000 0.000 5.738 0.000 0.000 0.000 5.738" Properties=species:S:1:pos:R:3 pbc="T T T"
Bi 0.000 0.000 0.000
Na 0.000 0.000 2.869
Na 2.869 0.000 0.000
Na 0.000 2.869 0.000
Ta 2.869 2.869 2.869
```

Calculated values
Its volume is 37.78 Å³ per atom. The value obtained for the total energy is -14.33 eV/cell. The value obtained for the formation enthalpy at 0 K is 1.3410 eV/atom. The total magnetization comes out at 3.3 μB/f.u.